1.
PBE TaTc2Te, optimized geometry; DOS(E_F) = 3.93 states/eV per cell; V = 17.3 Å³/atom; calculated total energy = -34.92 eV/cell; ΔE_f (raw) = 0.2008 eV per atom
1.0
3.128 0.000 0.000
0.000 3.128 0.000
0.000 0.000 7.067
Ta Tc Te
1 2 1
Direct
0.500 0.500 0.770
0.000 0.000 0.011
0.500 0.500 0.229
0.000 0.000 0.490

***

2.
PBE AcTbPm6Sm2, optimized geometry; energy of formation = 0.12 eV/atom; DOS(E_F) = 28.96 states/eV per cell; V = 35.5 Å³/atom; calculated total energy = -90.98 eV/cell
1.0
9.326 -2.083 -2.161
0.953 8.789 -2.116
0.953 -2.441 8.704
Ac Tb Pm Sm
2 2 12 4
Direct
0.250 0.975 0.025
0.750 0.025 0.975
0.250 0.411 0.589
0.750 0.589 0.411
0.055 0.128 0.749
0.445 0.251 0.872
0.945 0.872 0.251
0.555 0.749 0.128
0.314 0.984 0.439
0.186 0.561 0.016
0.686 0.016 0.561
0.814 0.439 0.984
0.118 0.710 0.497
0.382 0.503 0.290
0.882 0.290 0.503
0.618 0.497 0.710
0.454 0.801 0.687
0.046 0.313 0.199
0.546 0.199 0.313
0.954 0.687 0.801

***

3.
PBE TbPmEu, optimized geometry; energy of formation = 0.04 eV/atom; DOS(E_F) = 3.50 states/eV per cell; V = 35.3 Å³/atom; calculated total energy = -19.52 eV/cell
1.0
-2.994 -0.309 -2.114
2.883 -2.214 -0.560
-3.477 -5.994 5.801
Eu Tb Pm
1 1 1
Direct
0.000 0.000 0.997
0.333 0.667 0.657
0.667 0.333 0.345

***

4.
PBE KNd2C2N6, optimized geometry; DOS(E_F) = 3.62 states/eV per cell; V = 17.5 Å³/atom; calculated total energy = -82.71 eV/cell; ΔE_f (raw) = -0.3341 eV per atom
1.0
-3.434 4.813 2.497
-3.135 -0.628 5.155
5.368 3.285 1.046
K Nd C N
1 2 2 6
Direct
0.500 0.000 0.500
0.830 0.340 0.801
0.170 0.660 0.199
0.170 0.660 0.743
0.830 0.340 0.257
0.391 0.568 0.806
0.959 0.432 0.194
0.083 0.834 0.634
0.041 0.568 0.806
0.917 0.166 0.366
0.609 0.432 0.194

***

5.
PBE Ce3PuAu7, optimized geometry; energy of formation = -0.52 eV/atom; DOS(E_F) = 67.41 states/eV per cell; V = 25.0 Å³/atom; calculated total energy = -121.69 eV/cell
1.0
3.873 0.000 0.000
-1.936 11.106 0.000
0.000 0.000 12.798
Ce Pu Au
6 2 14
Direct
0.141 0.282 0.440
0.859 0.718 0.560
0.199 0.398 0.750
0.801 0.602 0.250
0.141 0.282 0.060
0.859 0.718 0.940
0.994 0.988 0.250
0.006 0.012 0.750
0.376 0.753 0.750
0.624 0.247 0.250
0.537 0.074 0.418
0.463 0.926 0.582
0.463 0.926 0.918
0.537 0.074 0.082
0.401 0.803 0.365
0.599 0.197 0.635
0.278 0.555 0.431
0.722 0.445 0.569
0.722 0.445 0.931
0.278 0.555 0.069
0.401 0.803 0.135
0.599 0.197 0.865

***

6.
PBE ZrNiMo2N, optimized geometry; DOS(E_F) = 8.03 states/eV per cell; V = 20.6 Å³/atom; calculated total energy = -29.43 eV/cell; ΔE_f (raw) = 2.9771 eV per atom
1.0
-0.275 -0.143 4.812
-1.652 -4.116 -0.216
4.467 -1.804 0.202
Ni Mo Zr N
1 2 1 1
Direct
0.000 0.500 0.000
0.000 0.000 0.500
0.500 0.000 0.000
0.000 0.000 0.000
0.500 0.500 0.500

***

7.
PBE Zn3FeN, optimized geometry; energy relative to the lowest polymorph listed for this composition = 0.848 eV per atom; DOS(E_F) = 3.03 states/eV per cell; V = 20.4 Å³/atom; calculated total energy = -13.17 eV/cell; ΔE_f (raw) = 1.4877 eV per atom
1.0
-4.335 -1.551 0.796
1.072 -4.054 -2.060
1.374 -1.729 4.117
Zn Fe N
3 1 1
Direct
0.000 0.500 0.000
0.000 0.000 0.500
0.500 0.000 0.000
0.000 0.000 0.000
0.500 0.500 0.500

***

8.
PBE Zr2TcH, optimized geometry; energy relative to the lowest polymorph listed for this composition = 0.000 eV per atom; DOS(E_F) = 2.77 states/eV per cell; V = 15.5 Å³/atom; calculated total energy = -31.40 eV/cell
1.0
3.252 0.000 0.000
1.626 2.816 0.000
1.626 0.939 6.764
H Tc Zr
1 1 2
Direct
0.000 0.000 0.000
0.500 0.500 0.500
0.264 0.264 0.207
0.736 0.736 0.793

***

9.
PBE ZrTi3Te, optimized geometry; energy relative to the lowest polymorph listed for this composition = 0.856 eV per atom; DOS(E_F) = 5.75 states/eV per cell; V = 24.1 Å³/atom; calculated total energy = -32.30 eV/cell; ΔE_f (raw) = 0.6143 eV per atom
1.0
-2.734 0.320 4.105
3.210 -2.921 2.365
2.579 3.974 1.408
Te Zr Ti
1 1 3
Direct
0.000 0.000 0.000
0.500 0.500 0.500
0.000 0.500 0.000
0.000 0.000 0.500
0.500 0.000 0.000

***

10.
PBE YRe2Tc, optimized geometry; energy relative to the lowest polymorph listed for this composition = 0.000 eV per atom; energy of formation = 0.20 eV/atom; DOS(E_F) = 3.11 states/eV per cell; V = 17.5 Å³/atom; calculated total energy = -40.93 eV/cell
1.0
-2.996 0.828 -0.592
-1.006 -2.686 1.337
-0.337 3.221 6.214
Re Tc Y
2 1 1
Direct
0.000 0.000 0.039
0.500 0.500 0.250
0.000 0.000 0.463
0.500 0.500 0.748

***

11.
PBE DyPuCdIn, optimized geometry; energy of formation = -0.20 eV/atom; DOS(E_F) = 8.47 states/eV per cell; V = 26.9 Å³/atom; calculated total energy = -23.39 eV/cell
1.0
-2.787 2.224 3.975
-5.230 -0.975 0.466
-1.805 -3.024 4.014
Cd Dy In Pu
1 1 1 1
Direct
0.750 0.750 0.750
0.500 0.500 0.500
0.250 0.250 0.250
0.000 0.000 0.000

***

12.
PBE MgOs, optimized geometry; energy of formation = 2.49 eV/atom; DOS(E_F) = 2.17 states/eV per cell; V = 27.5 Å³/atom; calculated total energy = -7.84 eV/cell
1.0
-4.160 0.453 -0.836
-1.713 -1.917 -3.405
-2.652 -3.302 0.520
Mg Os
1 1
Direct
0.250 0.250 0.250
0.000 0.000 0.000